Run w
! Sm4Hg | the Alexandria database | PBE | optimized geometry; values from VASP
&SYSTEM
  ibrav = 0, nat = 5, ntyp = 2
/
ATOMIC_SPECIES
Hg 200.59 Hg.upf
Sm 150.36 Sm.upf
ATOMIC_POSITIONS angstrom
Hg 0.0000 0.0000 0.0000
Sm 1.4119 1.4444 9.3500
Sm 2.8167 2.8817 6.3402
Sm 0.6682 0.6836 4.4253
Sm 2.0731 2.1209 1.4155
CELL_PARAMETERS angstrom
3.6358 0.0000 -0.5490
-0.0829 3.6348 -0.5490
-0.0679 -0.0695 11.8635
! * Fermi-level density of states: 6.870 states/eV/cell
! * theoretical density: 8.5 g/cm³

Run x
! Sm4Hg | the Alexandria database | PBE | optimized geometry; values from VASP
&SYSTEM
  ibrav = 0, nat = 10, ntyp = 2
/
ATOMIC_SPECIES
Sm 150.36 Sm.upf
Hg 200.59 Hg.upf
ATOMIC_POSITIONS angstrom
Sm -6.8188 3.6828 0.8760
Sm -3.8850 0.4648 -0.0480
Sm -7.1139 5.2072 5.8221
Sm -4.3472 5.5208 3.6249
Sm -7.9113 2.0198 6.8180
Sm -6.6517 0.1512 2.1493
Sm -3.0876 3.6522 -1.0438
Sm -4.1800 1.9892 4.8982
Hg -7.1153 2.7465 3.8631
Hg -3.8835 2.9255 1.9110
CELL_PARAMETERS angstrom
-3.8705 4.5792 -2.2418
-5.7858 -1.8372 -0.2872
-1.3425 2.9301 8.3031
! * Fermi-level density of states: 13.057 states/eV/cell
! * theoretical density: 8.3 g/cm³

Run y
! Sm4Hg | the Alexandria database | PBE | optimized geometry; values from VASP
&SYSTEM
  ibrav = 0, nat = 5, ntyp = 2
/
ATOMIC_SPECIES
Sm 150.36 Sm.upf
Hg 200.59 Hg.upf
ATOMIC_POSITIONS angstrom
Sm -2.5961 -2.9815 -1.0299
Sm 0.0000 0.0000 0.0000
Sm 0.1716 -3.6078 1.9090
Sm -2.9792 -1.0935 2.5726
Hg -2.7018 -3.8414 1.7258
CELL_PARAMETERS angstrom
-5.7469 -0.4672 -0.3663
0.5547 -5.4958 -1.6936
-0.2115 -1.7198 5.5115
! * Fermi-level density of states: 7.354 states/eV/cell
! * theoretical density: 6.9 g/cm³

In terms of stability, run w leads; the second structure lies 11.5 kJ/mol of atoms higher.

Run w
! SmHg6 | the Alexandria database | PBE | optimized geometry; values from VASP
&SYSTEM
  ibrav = 0, nat = 7, ntyp = 2
/
ATOMIC_SPECIES
Sm 150.36 Sm.upf
Hg 200.59 Hg.upf
ATOMIC_POSITIONS angstrom
Sm 0.0000 0.0000 0.0000
Hg -4.3855 -0.4720 -0.0592
Hg -3.7936 2.2183 0.3829
Hg -2.1261 2.9508 2.4963
Hg -1.0506 0.9929 4.1677
Hg -3.3100 -2.4299 1.6121
Hg -1.6425 -1.6975 3.7256
CELL_PARAMETERS angstrom
-4.8245 -4.3900 -2.0379
1.8454 -1.4603 6.4159
-2.4569 6.3712 -0.2695
! * Fermi-level density of states: 6.490 states/eV/cell
! * theoretical density: 9.2 g/cm³

Run x
! SmHg6 | the Alexandria database | PBE | optimized geometry; values from VASP
&SYSTEM
  ibrav = 0, nat = 7, ntyp = 2
/
ATOMIC_SPECIES
Hg 200.59 Hg.upf
Sm 150.36 Sm.upf
ATOMIC_POSITIONS angstrom
Hg 0.0000 2.5227 5.2629
Hg 2.5227 0.0000 2.0049
Hg 2.5227 2.5227 0.0000
Hg 0.0000 2.5227 2.0049
Hg 0.0000 0.0000 3.6339
Hg 2.5227 0.0000 5.2629
Sm 0.0000 0.0000 0.0000
CELL_PARAMETERS angstrom
5.0453 0.0000 0.0000
0.0000 5.0453 0.0000
0.0000 0.0000 7.2678
! * Fermi-level density of states: 4.459 states/eV/cell
! * theoretical density: 12.2 g/cm³

In terms of stability, run x leads; the second structure lies 58.2 kJ/mol of atoms higher.